12
Lattice="-4.463 4.463 3.839 4.463 -4.463 3.839 4.463 4.463 -3.839" Properties=species:S:1:pos:R:3 comment="GGA-PBE Pm4CoN, relaxed" energy_ev_per_atom=-6.16 e_form_raw_kcal_per_mol_atoms=-9.71 spacegroup="I4_1md (109)" pbc="T T T"
Pm 4.463 1.728 -0.250
Pm 2.736 4.463 -2.169
Pm 1.728 0.000 1.670
Pm 0.000 2.693 0.000
Pm 0.000 6.233 0.000
Pm 2.693 4.463 1.919
Pm 1.770 0.000 5.758
Pm 0.000 2.736 3.589
Co 4.463 0.000 1.796
Co 0.000 0.000 3.715
N 0.000 4.463 1.671
N 0.000 0.000 7.429